1.
An optimized crystal structure of ZnAgPt2Rh, computed with GGA-PBE.

Lattice parameters (Å, degrees): 4.7986 4.7986 5.0413 90.00 90.00 90.00
Fractional positions:
1 Zn 0.0000 0.0000 0.0000
2 Ag 0.5000 0.5000 0.0000
3 Pt 0.0000 0.5000 0.5000
4 Pt 0.5000 0.0000 0.5000
5 Rh 0.5000 0.5000 0.5000

Summary:
SG: P4/mmm, No. 123
Calculated total energy: -3.58 eV per atom
Energy of formation: 545 kJ/mol of formula units

=====

2.
An optimized crystal structure of ZrAgPtRh, computed with GGA-PBE.

Lattice parameters (Å, degrees): 6.4952 6.4952 6.4952 90.00 90.00 90.00
Fractional positions:
1 Zr 0.0000 0.0000 0.0000
2 Zr 0.0000 0.5000 0.5000
3 Zr 0.5000 0.0000 0.5000
4 Zr 0.5000 0.5000 0.0000
5 Ag 0.0000 0.0000 0.5000
6 Ag 0.0000 0.5000 0.0000
7 Ag 0.5000 0.0000 0.0000
8 Ag 0.5000 0.5000 0.5000
9 Pt 0.2500 0.2500 0.2500
10 Pt 0.2500 0.7500 0.7500
11 Pt 0.7500 0.2500 0.7500
12 Pt 0.7500 0.7500 0.2500
13 Rh 0.2500 0.2500 0.7500
14 Rh 0.2500 0.7500 0.2500
15 Rh 0.7500 0.2500 0.2500
16 Rh 0.7500 0.7500 0.7500

Summary:
SG: F-43m, No. 216
Calculated total energy: -6.75 eV per atom
Energy of formation: -211 kJ/mol of formula units

=====

3.
An optimized crystal structure of AgRu2Pt, computed with GGA-PBE.

Lattice parameters (Å, degrees): 2.7257 4.9049 4.9124 112.23 90.09 90.00
Fractional positions:
1 Ag 0.0000 0.0000 0.0000
2 Ru 0.5000 0.0000 0.5000
3 Ru 0.5000 0.5000 0.0000
4 Pt 0.0000 0.5000 0.5000

Summary:
SG: P-1, No. 2
Calculated total energy: -6.45 eV per atom
Energy of formation: 158 kJ/mol of formula units
E above lowest polymorph: 1.162 eV/f.u.

=====

4.
An optimized crystal structure of AgRuPt, computed with GGA-PBE.

Lattice parameters (Å, degrees): 2.7908 4.7253 14.6120 90.00 90.00 90.00
Fractional positions:
1 Ag 0.0000 0.0000 0.0000
2 Ag 0.0000 0.5000 0.5000
3 Ag 0.5000 0.0000 0.5000
4 Ag 0.5000 0.5000 0.0000
5 Ru 0.0000 0.0000 0.6685
6 Ru 0.0000 0.5000 0.1685
7 Ru 0.5000 0.0000 0.1685
8 Ru 0.5000 0.5000 0.6685
9 Pt 0.0000 0.0000 0.3278
10 Pt 0.0000 0.5000 0.8278
11 Pt 0.5000 0.0000 0.8278
12 Pt 0.5000 0.5000 0.3278

Summary:
SG: Fmm2, No. 42
Calculated total energy: -5.71 eV per atom
Energy of formation: 101 kJ/mol of formula units
E above lowest polymorph: 1.009 eV/f.u.

=====

5.
An optimized crystal structure of AgRu2Pt, computed with GGA-PBE.

Lattice parameters (Å, degrees): 2.7437 4.7285 9.6499 90.00 90.00 90.00
Fractional positions:
1 Ag 0.0000 0.0000 0.0000
2 Ag 0.5000 0.5000 0.5000
3 Ru 0.0000 0.0000 0.5185
4 Ru 0.0000 0.5000 0.2346
5 Ru 0.5000 0.0000 0.7346
6 Ru 0.5000 0.5000 0.0185
7 Pt 0.0000 0.5000 0.7711
8 Pt 0.5000 0.0000 0.2711

Summary:
SG: Imm2, No. 44
Calculated total energy: -6.47 eV per atom
Energy of formation: 151 kJ/mol of formula units
E above lowest polymorph: 1.081 eV/f.u.

=====

6.
An optimized crystal structure of AgRu2Pt, computed with GGA-PBE.

Lattice parameters (Å, degrees): 7.2855 7.2855 5.2250 90.00 90.00 90.00
Fractional positions:
1 Ag 0.0000 0.0000 0.0000
2 Ag 0.0000 0.5000 0.2500
3 Ag 0.5000 0.0000 0.7500
4 Ag 0.5000 0.5000 0.5000
5 Ru 0.2127 0.7500 0.6250
6 Ru 0.2500 0.2127 0.3750
7 Ru 0.2500 0.2873 0.8750
8 Ru 0.2873 0.7500 0.1250
9 Ru 0.7127 0.2500 0.1250
10 Ru 0.7500 0.7127 0.8750
11 Ru 0.7500 0.7873 0.3750
12 Ru 0.7873 0.2500 0.6250
13 Pt 0.0000 0.0000 0.5000
14 Pt 0.0000 0.5000 0.7500
15 Pt 0.5000 0.0000 0.2500
16 Pt 0.5000 0.5000 0.0000

Summary:
SG: I-42d, No. 122
Calculated total energy: -5.97 eV per atom
Energy of formation: 343 kJ/mol of formula units
E above lowest polymorph: 3.076 eV/f.u.